Record 1
Entry from Alexandria via LeMat-Bulk: crystalline Nd8Cd3In2 at its relaxed geometry (PBE).

Values from the calculation:
space group	C2/m

Cell: 5.2969 8.2549 10.1082 Å, 114.10 86.15 90.00°
Closest atoms and distances in Å follow each position.
Fractional coordinates of all 13 atoms:
Nd  0.7542  0.5520  0.1039  2 Nd 3.12-3.42, 2 Cd 3.14, 1 In 3.16
Nd  0.2458  0.4480  0.8961  2 Nd 3.12-3.42, 2 Cd 3.14, 1 In 3.16
Nd  0.7792  0.1720  0.3440  2 In 3.27-3.28, 4 Nd 3.50-3.61, 3 Cd 3.59-3.60
Nd  0.2208  0.8280  0.6560  2 In 3.27-3.28, 4 Nd 3.50-3.61, 3 Cd 3.59-3.60
Nd  0.7293  0.5695  0.7036  1 Cd 3.31, 3 In 3.32-3.49, 4 Nd 3.50-3.61
Nd  0.7293  0.1341  0.7036  1 Cd 3.31, 3 In 3.32-3.49, 4 Nd 3.50-3.61
Nd  0.2707  0.8659  0.2964  1 Cd 3.31, 3 In 3.32-3.49, 4 Nd 3.50-3.61
Nd  0.2707  0.4305  0.2964  1 Cd 3.31, 3 In 3.32-3.49, 4 Nd 3.50-3.61
Cd  0.5000  0.0000  0.0000  4 Cd 3.00
Cd  0.0000  0.1701  0.0000  3 Cd 2.81-3.00, 2 Nd 3.14
Cd  0.0000  0.8299  0.0000  3 Cd 2.81-3.00, 2 Nd 3.14
In  0.2508  0.2769  0.5537  9 Nd 3.16-3.49
In  0.7492  0.7231  0.4463  9 Nd 3.16-3.49

Record 2
Entry from Alexandria via LeMat-Bulk: crystalline Nd4Cd5In at its relaxed geometry (PBE).

Values from the calculation:
space group	C2/m

Cell: 5.2518 6.6623 8.5654 Å, 104.38 107.85 90.00°
Closest atoms and distances in Å follow each position.
Fractional coordinates of all 10 atoms:
Nd  0.6899  0.3247  0.3799  6 Cd 3.14-3.40, 1 In 3.28
Nd  0.0969  0.8670  0.1938  6 Cd 3.16-3.50, 2 In 3.30
Nd  0.3101  0.6753  0.6201  6 Cd 3.14-3.40, 1 In 3.28
Nd  0.9031  0.1330  0.8062  6 Cd 3.16-3.50, 2 In 3.30
Cd  0.2909  0.1706  0.5818  7 Nd 3.25-3.40, 3 Cd 3.50-3.54
Cd  0.0954  0.3917  0.1908  5 Nd 3.14-3.50, 2 Cd 3.23
Cd  0.9046  0.6083  0.8092  5 Nd 3.14-3.50, 2 Cd 3.23
Cd  0.5000  0.5000  0.0000  6 Cd 3.23-3.54, 2 In 3.33, 2 Nd 3.58
Cd  0.7091  0.8294  0.4182  7 Nd 3.25-3.40, 3 Cd 3.50-3.54
In  0.5000  0.0000  0.0000  6 Nd 3.28-3.30, 2 Cd 3.33

Record 3
Entry from Alexandria via LeMat-Bulk: crystalline Nd3Cd4In2 at its relaxed geometry (PBE).

Values from the calculation:
space group	C2/m

Cell: 5.0162 6.1979 9.4712 Å, 114.74 90.00 113.87°
Closest atoms and distances in Å follow each position.
Fractional coordinates of all 9 atoms:
Nd  0.6657  0.3315  0.6705  8 Cd 3.28-3.53, 4 In 3.39-3.50, 2 Nd 3.64-3.67
Nd  0.0000  0.0000  0.0000  8 Cd 3.34-3.58, 4 In 3.42, 2 Nd 3.64
Nd  0.3343  0.6685  0.3295  8 Cd 3.28-3.53, 4 In 3.39-3.50, 2 Nd 3.64-3.67
Cd  0.7059  0.4118  0.0360  2 Cd 2.89, 1 In 2.93
Cd  0.2941  0.5882  0.9640  2 Cd 2.89, 1 In 2.93
Cd  0.9249  0.8499  0.5897  1 Cd 2.90, 2 In 2.92
Cd  0.0751  0.1501  0.4103  1 Cd 2.90, 2 In 2.92
In  0.6097  0.2195  0.2752  3 Cd 2.92-2.93
In  0.3903  0.7805  0.7248  3 Cd 2.92-2.93

Record 4
Entry from Alexandria via LeMat-Bulk: crystalline NdCd3In3 at its relaxed geometry (PBE).

Values from the calculation:
space group	Pm-3n

Cell: 7.8058 7.8058 7.8058 Å, 90.00 90.00 90.00°
Closest atoms and distances in Å follow each position.
Fractional coordinates of all 14 atoms:
Cd  0.0000  0.2500  0.5000  4 In 2.76
Cd  0.0000  0.7500  0.5000  4 In 2.76
Cd  0.5000  0.0000  0.7500  4 In 2.76
Cd  0.7500  0.5000  0.0000  4 In 2.76
Cd  0.5000  0.0000  0.2500  4 In 2.76
Cd  0.2500  0.5000  0.0000  4 In 2.76
Nd  0.5000  0.5000  0.5000  12 Cd 4.36, 12 In 4.36
Nd  0.0000  0.0000  0.0000  12 In 4.36, 12 Cd 4.36
In  0.2500  0.0000  0.5000  4 Cd 2.76
In  0.0000  0.5000  0.2500  4 Cd 2.76
In  0.5000  0.7500  0.0000  4 Cd 2.76
In  0.7500  0.0000  0.5000  4 Cd 2.76
In  0.0000  0.5000  0.7500  4 Cd 2.76
In  0.5000  0.2500  0.0000  4 Cd 2.76

Record 5
Entry from Alexandria via LeMat-Bulk: crystalline Nd2Cd2In3 at its relaxed geometry (PBE).

Values from the calculation:
space group	Cmcm

Cell: 4.7306 7.7062 10.6663 Å, 90.00 102.81 90.00°
Closest atoms and distances in Å follow each position.
Fractional coordinates of all 14 atoms:
Nd  0.1560  0.2500  0.3121  6 In 3.38-3.46, 6 Cd 3.40-3.58
Nd  0.8440  0.7500  0.6879  6 In 3.38-3.46, 6 Cd 3.40-3.58
Nd  0.9528  0.2500  0.9057  9 In 3.41-3.65
Nd  0.0472  0.7500  0.0943  9 In 3.41-3.65
Cd  0.6879  0.9448  0.3759  4 In 2.80-3.00, 1 Cd 3.00
Cd  0.3121  0.0552  0.6241  4 In 2.80-3.00, 1 Cd 3.00
Cd  0.3121  0.4448  0.6241  4 In 2.80-3.00, 1 Cd 3.00
Cd  0.6879  0.5552  0.3759  4 In 2.80-3.00, 1 Cd 3.00
In  0.2224  0.7500  0.4448  6 Cd 2.89-3.00
In  0.7776  0.2500  0.5552  6 Cd 2.89-3.00
In  0.5614  0.4327  0.1228  2 In 2.76-2.82, 1 Cd 2.80
In  0.4386  0.5673  0.8772  2 In 2.76-2.82, 1 Cd 2.80
In  0.4386  0.9327  0.8772  2 In 2.76-2.82, 1 Cd 2.80
In  0.5614  0.0673  0.1228  2 In 2.76-2.82, 1 Cd 2.80

Record 6
Entry from Alexandria via LeMat-Bulk: crystalline NdCd2In at its relaxed geometry (PBE).

Values from the calculation:
space group	Cmmm
offset from the most stable computed form	100.6	meV per atom

Cell: 3.3754 6.0977 6.0977 Å, 121.59 90.00 90.00°
Closest atoms and distances in Å follow each position.
Fractional coordinates of all 4 atoms:
Nd  0.0000  0.9450  0.0550  2 Nd 3.38, 4 In 3.42, 8 Cd 3.48
Cd  0.5000  0.9450  0.5550  2 Cd 2.98, 2 In 3.05
Cd  0.5000  0.4450  0.0550  2 Cd 2.98, 2 In 3.05
In  0.5000  0.4450  0.5550  4 Cd 3.05, 2 In 3.38

no.,ΔH_f (0 K) (eV per atom),DOS(E_F) (states/eV/cell)
1,-0.184,13.6
2,-0.339,6.7
3,-0.416,4.8
4,0.371,9.0
5,-0.371,6.1
6,-0.246,2.1